No. 1
The following is a DFT calculation (PBE) of a relaxed structure of CuPd2Au.

Values from the calculation:
As for the energy relative to the elements: -0.06 eV per atom. The calculation puts the total moment at 0.00 μB per formula unit. The polymorph energy (0 for the lowest one) comes out at 35 meV per atom. The value obtained for the density of states at the Fermi level is 2.82 states/eV/f.u.

Cell: 9.093 9.093 9.093 Å, 17.84 17.84 17.84°
Fractional positions:
Cu 0.000 0.000 0.000
Pd 0.256 0.256 0.256
Pd 0.744 0.744 0.744
Au 0.500 0.500 0.500

No. 2
The following is a DFT calculation (PBE) of a relaxed structure of CsKInBrCl.

Values from the calculation:
The calculation puts the total moment at 0.00 μB per formula unit. The polymorph energy (0 for the lowest one) comes out at 3 meV per atom. The value obtained for the density of states at the Fermi level is 1.47 states/eV/f.u. The value obtained for the uncorrected formation energy is -1201 meV/atom.

Cell: 4.402 4.302 11.281 Å, 90.00 101.03 90.00°
Fractional positions:
Cs 0.000 0.000 0.000
K 0.704 0.000 0.394
In 0.317 0.500 0.626
Br 0.145 0.500 0.273
Cl 0.439 0.500 0.876

No. 3
The following is a DFT calculation (PBE) of a relaxed structure of Tc4Rh.

Values from the calculation:
As for the energy relative to the elements: 0.01 eV per atom. The calculation puts the total moment at 0.00 μB per formula unit. The polymorph energy (0 for the lowest one) comes out at 18 meV per atom. The value obtained for the density of states at the Fermi level is 6.41 states/eV/f.u.

Cell: 4.737 4.737 4.737 Å, 99.66 99.66 131.65°
Fractional positions:
Tc 0.102 0.299 0.401
Tc 0.299 0.898 0.196
Tc 0.701 0.102 0.804
Tc 0.898 0.701 0.599
Rh 0.500 0.500 0.000

No. 4
The following is a DFT calculation (PBE) of a relaxed structure of MgRu2.

Values from the calculation:
As for the energy relative to the elements: 0.54 eV per atom. The calculation puts the total moment at 0.00 μB per formula unit. The value obtained for the density of states at the Fermi level is 3.36 states/eV/f.u.

Cell: 4.958 4.958 4.958 Å, 103.92 103.92 121.26°
Fractional positions:
Mg 0.250 0.250 0.000
Mg 0.750 0.750 0.000
Ru 0.138 0.638 0.776
Ru 0.362 0.138 0.500
Ru 0.638 0.862 0.500
Ru 0.862 0.362 0.224

No. 5
The following is a DFT calculation (PBE) of a relaxed structure of TlCrNiSn2.

Values from the calculation:
As for the energy relative to the elements: 0.93 eV per atom. The calculation puts the total moment at 0.21 μB per formula unit. The value obtained for the density of states at the Fermi level is 6.81 states/eV/f.u.

Cell: 4.935 4.935 4.975 Å, 90.00 90.00 90.00°
Fractional positions:
Tl 0.000 0.000 0.000
Cr 0.500 0.500 0.000
Ni 0.000 0.000 0.500
Sn 0.000 0.500 0.500
Sn 0.500 0.000 0.500

No. 6
The following is a DFT calculation (PBE) of a relaxed structure of Zr3Sc4.

Values from the calculation:
As for the energy relative to the elements: 0.22 eV per atom. The calculation puts the total moment at 1.87 μB per formula unit. The polymorph energy (0 for the lowest one) comes out at 122 meV per atom. The value obtained for the density of states at the Fermi level is 16.01 states/eV/f.u.

Cell: 5.801 5.801 5.943 Å, 90.00 90.00 120.00°
Fractional positions:
Zr 0.000 0.500 0.000
Zr 0.500 0.000 0.000
Zr 0.500 0.500 0.000
Sc 0.000 0.000 0.255
Sc 0.000 0.000 0.745
Sc 0.333 0.667 0.500
Sc 0.667 0.333 0.500

No. 7
The following is a DFT calculation (PBE) of a relaxed structure of Ho2SiBPt6.

Values from the calculation:
The calculation puts the total moment at 0.00 μB per formula unit. The value obtained for the density of states at the Fermi level is 2.55 states/eV/f.u. The value obtained for the uncorrected formation energy is -960 meV/atom.

Cell: 5.666 8.547 7.222 Å, 90.00 90.00 90.00°
Fractional positions:
Ho 0.250 0.033 0.221
Ho 0.250 0.467 0.221
Ho 0.750 0.533 0.779
Ho 0.750 0.967 0.779
Si 0.250 0.750 0.807
Si 0.750 0.250 0.193
B 0.250 0.250 0.708
B 0.750 0.750 0.292
Pt 0.000 0.250 0.927
Pt 0.000 0.750 0.073
Pt 0.007 0.750 0.505
Pt 0.250 0.002 0.656
Pt 0.250 0.498 0.656
Pt 0.493 0.750 0.505
Pt 0.500 0.250 0.927
Pt 0.500 0.750 0.073
Pt 0.507 0.250 0.495
Pt 0.750 0.502 0.344
Pt 0.750 0.998 0.344
Pt 0.993 0.250 0.495

No. 8
The following is a DFT calculation (PBE) of a relaxed structure of Mn5Se.

Values from the calculation:
The calculation puts the total moment at 4.76 μB per formula unit. The polymorph energy (0 for the lowest one) comes out at 468 meV per atom. The value obtained for the density of states at the Fermi level is 8.38 states/eV/f.u. The value obtained for the uncorrected formation energy is 591 meV/atom.

Cell: 4.581 4.581 4.305 Å, 90.00 90.00 120.00°
Fractional positions:
Mn 0.000 0.500 0.000
Mn 0.333 0.667 0.500
Mn 0.500 0.000 0.000
Mn 0.500 0.500 0.000
Mn 0.667 0.333 0.500
Se 0.000 0.000 0.500

No. 9
The following is a DFT calculation (PBE) of a relaxed structure of K3Mn2Br9.

Values from the calculation:
The calculation puts the total moment at 8.00 μB per formula unit. The value obtained for the density of states at the Fermi level is 4.96 states/eV/f.u. The value obtained for the uncorrected formation energy is -1116 meV/atom.

Cell: 9.853 9.853 9.853 Å, 78.98 78.98 78.98°
Fractional positions:
K 0.085 0.750 0.415
K 0.250 0.585 0.915
K 0.415 0.085 0.750
K 0.585 0.915 0.250
K 0.750 0.415 0.085
K 0.915 0.250 0.585
Mn 0.165 0.165 0.165
Mn 0.335 0.335 0.335
Mn 0.665 0.665 0.665
Mn 0.835 0.835 0.835
Br 0.071 0.895 0.732
Br 0.089 0.411 0.250
Br 0.105 0.268 0.929
Br 0.232 0.395 0.571
Br 0.250 0.089 0.411
Br 0.268 0.929 0.105
Br 0.395 0.571 0.232
Br 0.411 0.250 0.089
Br 0.429 0.768 0.605
Br 0.571 0.232 0.395
Br 0.589 0.750 0.911
Br 0.605 0.429 0.768
Br 0.732 0.071 0.895
Br 0.750 0.911 0.589
Br 0.768 0.605 0.429
Br 0.895 0.732 0.071
Br 0.911 0.589 0.750
Br 0.929 0.105 0.268

No. 10
The following is a DFT calculation (PBE) of a relaxed structure of PrSm2Ga3.

Values from the calculation:
As for the energy relative to the elements: -0.28 eV per atom. The calculation puts the total moment at 0.00 μB per formula unit. The polymorph energy (0 for the lowest one) comes out at 287 meV per atom. The value obtained for the density of states at the Fermi level is 4.39 states/eV/f.u.

Cell: 7.910 7.910 7.910 Å, 103.16 94.35 134.15°
Fractional positions:
Pr 0.499 0.249 0.250
Pr 0.501 0.751 0.750
Sm 0.166 0.250 0.916
Sm 0.166 0.750 0.416
Sm 0.834 0.250 0.584
Sm 0.834 0.750 0.084
Ga 0.000 0.000 0.500
Ga 0.000 0.250 0.250
Ga 0.000 0.500 0.000
Ga 0.000 0.750 0.750
Ga 0.500 0.250 0.750
Ga 0.500 0.750 0.250

No. 11
The following is a DFT calculation (PBE) of a relaxed structure of Cs2Cd3BiPb4.

Values from the calculation:
As for the energy relative to the elements: -0.10 eV per atom. The calculation puts the total moment at 0.00 μB per formula unit. The value obtained for the density of states at the Fermi level is 3.79 states/eV/f.u.

Cell: 5.340 5.340 12.790 Å, 90.00 90.00 90.00°
Fractional positions:
Cs 0.000 0.500 0.244
Cs 0.500 0.000 0.756
Cd 0.000 0.000 0.000
Cd 0.000 0.500 0.626
Cd 0.500 0.000 0.374
Bi 0.500 0.500 0.000
Pb 0.000 0.000 0.500
Pb 0.000 0.500 0.868
Pb 0.500 0.000 0.132
Pb 0.500 0.500 0.500

No. 12
The following is a DFT calculation (PBE) of a relaxed structure of YGa2Cu.

Values from the calculation:
As for the energy relative to the elements: -0.18 eV per atom. The calculation puts the total moment at 0.00 μB per formula unit. The value obtained for the density of states at the Fermi level is 1.67 states/eV/f.u.

Cell: 8.999 8.999 8.999 Å, 150.81 150.81 41.75°
Fractional positions:
Y 0.000 0.000 0.000
Y 0.750 0.250 0.500
Ga 0.269 0.625 0.144
Ga 0.375 0.519 0.644
Ga 0.481 0.125 0.856
Ga 0.875 0.731 0.356
Cu 0.250 0.750 0.500
Cu 0.500 0.500 0.000

No. 13
The following is a DFT calculation (PBE) of a relaxed structure of CuRe2Te.

Values from the calculation:
The calculation puts the total moment at 0.00 μB per formula unit. The value obtained for the density of states at the Fermi level is 3.57 states/eV/f.u. The value obtained for the uncorrected formation energy is 764 meV/atom.

Cell: 4.520 4.520 4.520 Å, 60.00 60.00 60.00°
Fractional positions:
Cu 0.000 0.000 0.000
Re 0.500 0.500 0.500
Re 0.750 0.750 0.750
Te 0.250 0.250 0.250

No. 14
The following is a DFT calculation (PBE) of a relaxed structure of PmYAlCd.

Values from the calculation:
As for the energy relative to the elements: -0.36 eV per atom. The calculation puts the total moment at 0.00 μB per formula unit. The polymorph energy (0 for the lowest one) comes out at 10 meV per atom. The value obtained for the density of states at the Fermi level is 3.42 states/eV/f.u.

Cell: 5.275 5.275 5.275 Å, 60.00 60.00 60.00°
Fractional positions:
Pm 0.000 0.000 0.000
Y 0.500 0.500 0.500
Al 0.750 0.750 0.750
Cd 0.250 0.250 0.250

No. 15
The following is a DFT calculation (PBE) of a relaxed structure of Nd3Rh2Cl.

Values from the calculation:
The calculation puts the total moment at 0.48 μB per formula unit. The value obtained for the density of states at the Fermi level is 4.85 states/eV/f.u. The value obtained for the uncorrected formation energy is -736 meV/atom.

Cell: 8.085 8.085 9.815 Å, 90.00 90.00 150.57°
Fractional positions:
Nd 0.117 0.883 0.559
Nd 0.117 0.883 0.941
Nd 0.371 0.629 0.750
Nd 0.629 0.371 0.250
Nd 0.883 0.117 0.059
Nd 0.883 0.117 0.441
Rh 0.015 0.985 0.250
Rh 0.500 0.500 0.000
Rh 0.500 0.500 0.500
Rh 0.985 0.015 0.750
Cl 0.282 0.718 0.250
Cl 0.718 0.282 0.750

No. 16
The following is a DFT calculation (PBE) of a relaxed structure of Mg2SiAu.

Values from the calculation:
The calculation puts the total moment at 0.00 μB per formula unit. The value obtained for the density of states at the Fermi level is 1.31 states/eV/f.u. The value obtained for the uncorrected formation energy is -236 meV/atom.

Cell: 3.181 3.729 6.003 Å, 90.00 90.00 90.00°
Fractional positions:
Mg 0.000 0.000 0.249
Mg 0.000 0.000 0.751
Si 0.500 0.500 0.000
Au 0.500 0.500 0.500

No. 17
The following is a DFT calculation (PBE) of a relaxed structure of Sm2ZnGa.

Values from the calculation:
As for the energy relative to the elements: -0.25 eV per atom. The calculation puts the total moment at 0.00 μB per formula unit. The polymorph energy (0 for the lowest one) comes out at 209 meV per atom. The value obtained for the density of states at the Fermi level is 3.06 states/eV/f.u.

Cell: 9.121 9.121 9.121 Å, 23.67 23.67 23.67°
Fractional positions:
Sm 0.249 0.249 0.249
Sm 0.751 0.751 0.751
Zn 0.000 0.000 0.000
Ga 0.500 0.500 0.500

No. 18
The following is a DFT calculation (PBE) of a relaxed structure of Sc4AgAu.

Values from the calculation:
As for the energy relative to the elements: -0.16 eV per atom. The calculation puts the total moment at 0.00 μB per formula unit. The polymorph energy (0 for the lowest one) comes out at 0 meV per atom. The value obtained for the density of states at the Fermi level is 7.15 states/eV/f.u.

Cell: 4.686 4.686 6.631 Å, 90.00 90.00 90.00°
Fractional positions:
Sc 0.000 0.500 0.245
Sc 0.000 0.500 0.755
Sc 0.500 0.000 0.245
Sc 0.500 0.000 0.755
Ag 0.000 0.000 0.500
Au 0.500 0.500 0.000

No. 19
The following is a DFT calculation (PBE) of a relaxed structure of Sm7Ga2Sn2.

Values from the calculation:
As for the energy relative to the elements: -0.25 eV per atom. The calculation puts the total moment at 0.00 μB per formula unit. The value obtained for the density of states at the Fermi level is 13.29 states/eV/f.u.

Cell: 6.801 6.801 7.867 Å, 90.00 90.00 109.98°
Fractional positions:
Sm 0.000 0.000 0.000
Sm 0.000 0.500 0.296
Sm 0.000 0.500 0.704
Sm 0.500 0.000 0.296
Sm 0.500 0.000 0.704
Sm 0.500 0.500 0.280
Sm 0.500 0.500 0.720
Ga 0.166 0.166 0.500
Ga 0.834 0.834 0.500
Sn 0.297 0.703 0.000
Sn 0.703 0.297 0.000

No. 20
The following is a DFT calculation (PBE) of a relaxed structure of SrCa3Hg7.

Values from the calculation:
As for the energy relative to the elements: -0.40 eV per atom. The calculation puts the total moment at 0.00 μB per formula unit. The value obtained for the density of states at the Fermi level is 6.30 states/eV/f.u.

Cell: 11.894 11.894 14.085 Å, 90.00 90.00 161.11°
Fractional positions:
Sr 0.104 0.896 0.750
Sr 0.896 0.104 0.250
Ca 0.083 0.917 0.068
Ca 0.083 0.917 0.432
Ca 0.300 0.700 0.750
Ca 0.700 0.300 0.250
Ca 0.917 0.083 0.568
Ca 0.917 0.083 0.932
Hg 0.216 0.784 0.079
Hg 0.216 0.784 0.421
Hg 0.339 0.661 0.077
Hg 0.339 0.661 0.423
Hg 0.437 0.563 0.750
Hg 0.472 0.528 0.099
Hg 0.472 0.528 0.401
Hg 0.528 0.472 0.599
Hg 0.528 0.472 0.901
Hg 0.563 0.437 0.250
Hg 0.661 0.339 0.577
Hg 0.661 0.339 0.923
Hg 0.784 0.216 0.579
Hg 0.784 0.216 0.921

No. 21
The following is a DFT calculation (PBE) of a relaxed structure of Ho4AsC2.

Values from the calculation:
As for the energy relative to the elements: -0.57 eV per atom. The calculation puts the total moment at 0.79 μB per formula unit. The polymorph energy (0 for the lowest one) comes out at 98 meV per atom. The value obtained for the density of states at the Fermi level is 2.27 states/eV/f.u.

Cell: 7.276 7.276 7.276 Å, 110.25 110.25 107.92°
Fractional positions:
Ho 0.228 0.293 0.565
Ho 0.228 0.664 0.935
Ho 0.293 0.228 0.065
Ho 0.336 0.772 0.565
Ho 0.664 0.228 0.435
Ho 0.707 0.772 0.935
Ho 0.772 0.336 0.065
Ho 0.772 0.707 0.435
As 0.125 0.875 0.250
As 0.875 0.125 0.750
C 0.000 0.500 0.500
C 0.500 0.000 0.000
C 0.500 0.500 0.000
C 0.500 0.500 0.500

No. 22
The following is a DFT calculation (PBE) of a relaxed structure of PuUP.

Values from the calculation:
As for the energy relative to the elements: -0.28 eV per atom. The calculation puts the total moment at 4.62 μB per formula unit. The value obtained for the density of states at the Fermi level is 8.75 states/eV/f.u.

Cell: 12.517 12.517 12.517 Å, 27.61 27.61 27.61°
Fractional positions:
Pu 0.045 0.045 0.045
Pu 0.184 0.184 0.184
Pu 0.266 0.266 0.266
Pu 0.734 0.734 0.734
Pu 0.816 0.816 0.816
Pu 0.955 0.955 0.955
U 0.000 0.500 0.500
U 0.400 0.400 0.400
U 0.500 0.000 0.500
U 0.500 0.500 0.000
U 0.500 0.500 0.500
U 0.600 0.600 0.600
P 0.169 0.742 0.742
P 0.258 0.258 0.831
P 0.258 0.831 0.258
P 0.742 0.169 0.742
P 0.742 0.742 0.169
P 0.831 0.258 0.258

No. 23
The following is a DFT calculation (PBE) of a relaxed structure of SrHfP2Ru.

Values from the calculation:
As for the energy relative to the elements: 2.28 eV per atom. The calculation puts the total moment at 2.12 μB per formula unit. The value obtained for the density of states at the Fermi level is 5.52 states/eV/f.u.

Cell: 5.110 5.110 5.356 Å, 90.00 90.00 90.00°
Fractional positions:
Sr 0.000 0.000 0.000
Hf 0.000 0.000 0.500
P 0.000 0.500 0.000
P 0.500 0.000 0.000
Ru 0.500 0.500 0.500